Record 1
Density functional theory data (PBE) for a geometry-optimized PmErIn structure.

Computed properties:
Its space group is No. 216. The calculation puts the density of states at the Fermi level at 5.2 states/eV/f.u. The calculation puts the total energy at -4.11 eV per atom. For the total moment, the calculation gives 0.00 μB per atom.

a b c (Å): 5.230 5.230 5.230
angles (deg): 60.00 60.00 60.00
Fractional coordinates of all 3 atoms:
1 Pm 0.000 0.000 0.000
2 Er 0.500 0.500 0.500
3 In 0.250 0.250 0.250



Record 2
Density functional theory data (PBE) for a geometry-optimized Pm12Er7In structure.

Computed properties:
Its space group is No. 229. The calculation puts the density of states at the Fermi level at 34.7 states/eV/f.u. The calculation puts the total energy at -3.92 eV per atom. For the total moment, the calculation gives 0.00 μB per atom.

a b c (Å): 9.975 9.975 9.975
angles (deg): 109.47 109.47 109.47
Fractional coordinates of all 20 atoms:
1 Pm 0.000 0.223 0.777
2 Pm 0.000 0.777 0.223
3 Pm 0.223 0.000 0.777
4 Pm 0.223 0.223 0.445
5 Pm 0.223 0.445 0.223
6 Pm 0.223 0.777 0.000
7 Pm 0.445 0.223 0.223
8 Pm 0.555 0.777 0.777
9 Pm 0.777 0.000 0.223
10 Pm 0.777 0.223 0.000
11 Pm 0.777 0.555 0.777
12 Pm 0.777 0.777 0.555
13 Er 0.000 0.000 0.500
14 Er 0.000 0.500 0.000
15 Er 0.000 0.500 0.500
16 Er 0.500 0.000 0.000
17 Er 0.500 0.000 0.500
18 Er 0.500 0.500 0.000
19 Er 0.500 0.500 0.500
20 In 0.000 0.000 0.000



Record 3
Density functional theory data (PBE) for a geometry-optimized Pm4Er3In structure.

Computed properties:
Its space group is No. 71. The calculation puts the density of states at the Fermi level at 11.3 states/eV/f.u. The calculation puts the total energy at -4.50 eV per atom. For the total moment, the calculation gives 0.00 μB per atom.

a b c (Å): 12.622 12.622 12.622
angles (deg): 162.80 154.60 30.84
Fractional coordinates of all 8 atoms:
1 Pm 0.106 0.106 0.000
2 Pm 0.234 0.734 0.500
3 Pm 0.766 0.266 0.500
4 Pm 0.894 0.894 0.000
5 Er 0.364 0.364 0.000
6 Er 0.500 0.000 0.500
7 Er 0.636 0.636 0.000
8 In 0.000 0.500 0.500



Number 1: energy relative to the elements -0.088 eV per atom. Number 2: energy relative to the elements 0.669 eV per atom. Number 3: energy relative to the elements -0.075 eV per atom.